Computed, not measured: an optimized crystal structure of TeS4O14 at the PBE-GGA level of DFT.

CIF file:
```
data_TeS4O14
_cell_length_a 7.082
_cell_length_b 7.044
_cell_length_c 12.654
_cell_angle_alpha 80.08
_cell_angle_beta 79.64
_cell_angle_gamma 79.58
_symmetry_space_group_name_H-M 'P 1'
_symmetry_Int_Tables_number 1
loop_
_symmetry_equiv_pos_as_xyz
'x,y,z'
loop_
_atom_site_label
_atom_site_fract_x
_atom_site_fract_y
_atom_site_fract_z
_atom_site_occupancy
Te1 0.083 0.923 0.755 1
Te2 0.922 0.076 0.251 1
S1 0.481 0.918 0.846 1
S2 0.926 0.474 0.341 1
S3 0.211 0.698 0.996 1
S4 0.291 0.791 0.513 1
S5 0.709 0.205 0.496 1
S6 0.795 0.291 0.009 1
S7 0.218 0.482 0.691 1
S8 0.526 0.072 0.161 1
O1 0.681 0.877 0.801 1
O2 0.883 0.677 0.301 1
O3 0.367 0.913 0.747 1
O4 0.436 0.721 0.923 1
O5 0.609 0.900 0.115 1
O6 0.814 0.207 0.912 1
O7 0.491 0.763 0.525 1
O8 0.908 0.363 0.244 1
O9 0.161 0.932 0.588 1
O10 0.734 0.430 0.425 1
O11 0.078 0.839 0.923 1
O12 0.230 0.830 0.409 1
O13 0.798 0.493 0.007 1
O14 0.793 0.188 0.592 1
O15 0.410 0.462 0.714 1
O16 0.205 0.497 0.995 1
O17 0.928 0.155 0.085 1
O18 0.077 0.639 0.758 1
O19 0.201 0.581 0.567 1
O20 0.841 0.070 0.419 1
O21 0.197 0.775 0.095 1
O22 0.507 0.203 0.500 1
O23 0.400 0.085 0.897 1
O24 0.636 0.088 0.260 1
O25 0.570 0.266 0.080 1
O26 0.115 0.319 0.706 1
O27 0.098 0.391 0.386 1
O28 0.324 0.115 0.203 1
```

Summary:
Uncorrected energy (eV for the cell shown): -219.7
E_form (uncorrected) (eV/atom): -1.093
Magnetic moment (μB/atom): 0.0000



Computed, not measured: an optimized crystal structure of La2PmHg at the PBE-GGA level of DFT.

CIF file:
```
data_La2PmHg
_cell_length_a 6.633
_cell_length_b 7.001
_cell_length_c 11.363
_cell_angle_alpha 90.00
_cell_angle_beta 90.00
_cell_angle_gamma 90.00
_symmetry_space_group_name_H-M 'P 1'
_symmetry_Int_Tables_number 1
loop_
_symmetry_equiv_pos_as_xyz
'x,y,z'
loop_
_atom_site_label
_atom_site_fract_x
_atom_site_fract_y
_atom_site_fract_z
_atom_site_occupancy
La1 0.156 0.699 0.036 1
La2 0.344 0.199 0.464 1
La3 0.844 0.301 0.536 1
La4 0.656 0.801 0.964 1
La5 0.844 0.301 0.964 1
La6 0.656 0.801 0.536 1
La7 0.156 0.699 0.464 1
La8 0.344 0.199 0.036 1
Pm1 0.629 0.498 0.250 1
Pm2 0.871 0.998 0.250 1
Pm3 0.371 0.502 0.750 1
Pm4 0.129 0.002 0.750 1
Hg1 0.102 0.397 0.250 1
Hg2 0.398 0.897 0.250 1
Hg3 0.898 0.603 0.750 1
Hg4 0.602 0.103 0.750 1
```

Summary:
Uncorrected energy (eV for the cell shown): -62.8
Magnetic moment (μB/atom): 0.0000
ΔE_f (eV/atom): -0.1951



What is the formula in the first record? TeS4O14



Look up the uncorrected energy of the second one. -62.8 eV for the cell shown



Repeat the second record exactly.
Computed, not measured: an optimized crystal structure of La2PmHg at the PBE-GGA level of DFT.

CIF file:
```
data_La2PmHg
_cell_length_a 6.633
_cell_length_b 7.001
_cell_length_c 11.363
_cell_angle_alpha 90.00
_cell_angle_beta 90.00
_cell_angle_gamma 90.00
_symmetry_space_group_name_H-M 'P 1'
_symmetry_Int_Tables_number 1
loop_
_symmetry_equiv_pos_as_xyz
'x,y,z'
loop_
_atom_site_label
_atom_site_fract_x
_atom_site_fract_y
_atom_site_fract_z
_atom_site_occupancy
La1 0.156 0.699 0.036 1
La2 0.344 0.199 0.464 1
La3 0.844 0.301 0.536 1
La4 0.656 0.801 0.964 1
La5 0.844 0.301 0.964 1
La6 0.656 0.801 0.536 1
La7 0.156 0.699 0.464 1
La8 0.344 0.199 0.036 1
Pm1 0.629 0.498 0.250 1
Pm2 0.871 0.998 0.250 1
Pm3 0.371 0.502 0.750 1
Pm4 0.129 0.002 0.750 1
Hg1 0.102 0.397 0.250 1
Hg2 0.398 0.897 0.250 1
Hg3 0.898 0.603 0.750 1
Hg4 0.602 0.103 0.750 1
```

Summary:
Uncorrected energy (eV for the cell shown): -62.8
Magnetic moment (μB/atom): 0.0000
ΔE_f (eV/atom): -0.1951